Li2Pr4Bi3O2: optimized geometry, PBE.

The structure in CIF format:
```
data_Li2Pr4Bi3O2
_cell_length_a 4.9666
_cell_length_b 4.9666
_cell_length_c 24.4134
_cell_angle_alpha 90.00
_cell_angle_beta 90.00
_cell_angle_gamma 90.00
_space_group_name_H-M_alt 'I 4/m m m'
_space_group_IT_number 139
_space_group_name_Hall '-I 4 2'
loop_
_atom_site_label
_atom_site_fract_x
_atom_site_fract_y
_atom_site_fract_z
Li1 0.0000 0.0000 0.1920
Pr1 0.0000 0.5000 0.0962
Bi1 0.0000 0.0000 0.3136
Bi2 0.0000 0.0000 0.5000
O1 0.0000 0.0000 0.1051
```

Summary:
E_form (uncorrected), eV per atom: -1.365